The following is a DFT calculation (PBE) of a relaxed AcSbAs2 crystal.

Cell: 7.556 7.556 7.556 Å, 33.62 33.62 33.62°
Sites, in units of the cell vectors:
Ac (0.000, 0.000, 0.000)
Sb (0.500, 0.500, 0.500)
As (0.244, 0.244, 0.244)
As (0.756, 0.756, 0.756)

Results
Space-group type ... R-3m
Offset from the most stable computed form ... 9.8 meV/atom
Formation energy without anion corrections ... -0.59 eV per atom